# 1
Computed, not measured: a geometry-optimized GePN2F structure at the GGA-PBE level of DFT.

The space group is P4/mmm (No. 123) and the conventional cell measures 3.854, 3.854 and 3.708 Å, with angles of 90.00, 90.00 and 90.00 degrees. The inequivalent atoms are Ge at (0.000, 0.000, 0.000), P at (0.500, 0.500, 0.500), N at (0.000, 0.500, 0.000) and F at (0.000, 0.000, 0.500).

For the formation energy from raw total energies, the calculation gives 0.6741 eV per atom. The value obtained for the excess energy over the best structure of this formula in the dataset is 403 meV/atom. The crystal system is tetragonal.

---

# 2
Computed, not measured: a geometry-optimized Rb2BiSe2O6 structure at the GGA-PBE level of DFT.

The space group is C2/m (No. 12) and the conventional cell measures 9.783, 6.334 and 7.567 Å, with angles of 90.00, 115.07 and 90.00 degrees. The inequivalent atoms are Rb at (0.200, 0.000, 0.112), Bi at (0.000, 0.000, 0.500), Se at (0.103, 0.500, 0.270), O at (0.012, 0.281, 0.743) and O at (0.240, 0.500, 0.505).

For the formation energy from raw total energies, the calculation gives -1.0936 eV per atom. The crystal system is monoclinic.

---

# 3
Computed, not measured: a geometry-optimized PuGe3Au3 structure at the GGA-PBE level of DFT.

The space group is R-3 (No. 148, hexagonal axes) and the conventional cell measures 7.9773, 7.9773 and 17.2642 Å, with angles of 90.00, 90.00 and 120.00 degrees. The inequivalent atoms are Pu at (0.0000, 0.0000, 0.1647), Ge at (0.9995, 0.3289, 0.4147) and Au at (0.0012, 0.6763, 0.4060).

The energy relative to the elements is -0.81 eV per formula unit. The value obtained for the excess energy over the best structure of this formula in the dataset is 0 meV/atom. The crystal system is trigonal.

---

# 4
Computed, not measured: a geometry-optimized Sr2RuRhF structure at the GGA-PBE level of DFT.

The space group is P4/mmm (No. 123) and the conventional cell measures 5.803, 5.803 and 4.523 Å, with angles of 90.00, 90.00 and 90.00 degrees. The inequivalent atoms are Sr at (0.000, 0.500, 0.000), Ru at (0.000, 0.000, 0.000), Rh at (0.000, 0.000, 0.500) and F at (0.500, 0.500, 0.500).

For the formation energy from raw total energies, the calculation gives -0.3076 eV per atom. The crystal system is tetragonal.

---

# 5
Computed, not measured: a geometry-optimized Ta2W structure at the GGA-PBE level of DFT.

The space group is P6_3/mmc (No. 194) and the conventional cell measures 4.8261, 4.8261 and 5.3194 Å, with angles of 90.00, 90.00 and 120.00 degrees. The inequivalent atoms are Ta at (0.0000, 0.0000, 0.0000), Ta at (0.3333, 0.6667, 0.2500) and W at (0.3333, 0.6667, 0.7500).

The energy relative to the elements is 0.84 eV per formula unit. The value obtained for the excess energy over the best structure of this formula in the dataset is 361 meV/atom. The crystal system is hexagonal.

---

# 6
Computed, not measured: a geometry-optimized In3SnI5 structure at the GGA-PBE level of DFT.

The space group is C2/c (No. 15) and the conventional cell measures 12.824, 12.840 and 17.742 Å, with angles of 90.00, 100.09 and 90.00 degrees. The inequivalent atoms are In at (0.000, 0.039, 0.250), In at (0.000, 0.242, 0.750), In at (0.140, 0.394, 0.251), In at (0.172, 0.383, 0.523), Sn at (0.205, 0.144, 0.087), I at (0.023, 0.222, 0.387), I at (0.052, 0.432, 0.896), I at (0.147, 0.090, 0.606), I at (0.206, 0.116, 0.897) and I at (0.244, 0.353, 0.736).

For the formation energy from raw total energies, the calculation gives -0.4657 eV per atom. The crystal system is monoclinic.

---

# 7
Computed, not measured: a geometry-optimized Rb3Hg6Pb structure at the GGA-PBE level of DFT.

The space group is R3m (No. 160, hexagonal axes) and the conventional cell measures 13.7224, 13.7224 and 6.7619 Å, with angles of 90.00, 90.00 and 120.00 degrees. The inequivalent atoms are Rb at (0.0001, 0.5000, 0.0000), Hg at (0.0967, 0.1934, 0.8435), Hg at (0.1923, 0.0962, 0.1557) and Pb at (0.0000, 0.0000, 0.5012).

The energy relative to the elements is -2.16 eV per formula unit. The crystal system is trigonal.

---

# 8
Computed, not measured: a geometry-optimized Ti3Nb2In structure at the GGA-PBE level of DFT.

The space group is P4/mmm (No. 123) and the conventional cell measures 3.343, 3.343 and 9.760 Å, with angles of 90.00, 90.00 and 90.00 degrees. The inequivalent atoms are Ti at (0.000, 0.000, 0.000), Ti at (0.000, 0.000, 0.314), Nb at (0.500, 0.500, 0.164) and In at (0.500, 0.500, 0.500).

The energy relative to the elements is -0.39 eV per formula unit. The crystal system is tetragonal.

---

# 9
Computed, not measured: a geometry-optimized Ac2Ga12Pt7 structure at the GGA-PBE level of DFT.

The space group is P-6 (No. 174) and the conventional cell measures 10.1715, 10.1715 and 4.2830 Å, with angles of 90.00, 90.00 and 120.00 degrees. The inequivalent atoms are Ac at (0.0000, 0.0000, 0.0000), Ac at (0.3333, 0.6667, 0.5000), Ga at (0.0198, 0.2792, 0.5000), Ga at (0.1363, 0.7445, 0.0000), Ga at (0.3754, 0.1989, 0.0000), Ga at (0.5398, 0.4199, 0.5000), Pt at (0.0315, 0.4485, 0.0000), Pt at (0.2496, 0.2406, 0.5000) and Pt at (0.6667, 0.3333, 0.0000).

The energy relative to the elements is -15.64 eV per formula unit. The crystal system is hexagonal.

---

# 10
Computed, not measured: a geometry-optimized PrAlGeCl structure at the GGA-PBE level of DFT.

The space group is R-3m (No. 166, hexagonal axes) and the conventional cell measures 4.2823, 4.2823 and 39.8391 Å, with angles of 90.00, 90.00 and 120.00 degrees. The inequivalent atoms are Pr at (0.0000, 0.0000, 0.0852), Al at (0.0000, 0.0000, 0.3089), Ge at (0.0000, 0.0000, 0.3732) and Cl at (0.0000, 0.0000, 0.2078).

For the formation energy from raw total energies, the calculation gives -1.0325 eV per atom. The crystal system is trigonal.

---

# 11
Computed, not measured: a geometry-optimized Nd6BiTe3As2 structure at the GGA-PBE level of DFT.

The space group is C2/m (No. 12) and the conventional cell measures 19.493, 4.411 and 8.967 Å, with angles of 90.00, 104.05 and 90.00 degrees. The inequivalent atoms are Nd at (0.012, 0.000, 0.257), Nd at (0.171, 0.500, 0.111), Nd at (0.174, 0.500, 0.569), Bi at (0.000, 0.500, 0.000), Te at (0.000, 0.500, 0.500), Te at (0.162, 0.000, 0.833) and As at (0.168, 0.000, 0.336).

For the formation energy from raw total energies, the calculation gives -1.4221 eV per atom. The crystal system is monoclinic.

---

# 12
Computed, not measured: a geometry-optimized Ni2RhSBr structure at the GGA-PBE level of DFT.

The space group is P4/mmm (No. 123) and the conventional cell measures 4.002, 4.002 and 6.654 Å, with angles of 90.00, 90.00 and 90.00 degrees. The inequivalent atoms are Ni at (0.000, 0.500, 0.000), Rh at (0.000, 0.000, 0.500), S at (0.500, 0.500, 0.000) and Br at (0.500, 0.500, 0.500).

For the formation energy from raw total energies, the calculation gives 0.6129 eV per atom. The crystal system is tetragonal.

---

# 13
Computed, not measured: a geometry-optimized Pr2CdNi3Pt12 structure at the GGA-PBE level of DFT.

The space group is R-3m (No. 166, hexagonal axes) and the conventional cell measures 8.2710, 8.2710 and 18.5153 Å, with angles of 90.00, 90.00 and 120.00 degrees. The inequivalent atoms are Pr at (0.0000, 0.0000, 0.1077), Cd at (0.0000, 0.0000, 0.5000), Ni at (0.0000, 0.5000, 0.0000), Pt at (0.0198, 0.5099, 0.3726) and Pt at (0.0229, 0.5115, 0.8695).

The energy relative to the elements is 0.61 eV per formula unit. The crystal system is trigonal.

---

# 14
Computed, not measured: a geometry-optimized SiMoPb2 structure at the GGA-PBE level of DFT.

The space group is Pmmm (No. 47) and the conventional cell measures 3.622, 4.730 and 5.151 Å, with angles of 90.00, 90.00 and 90.00 degrees. The inequivalent atoms are Si at (0.000, 0.000, 0.000), Mo at (0.500, 0.000, 0.500), Pb at (0.000, 0.500, 0.500) and Pb at (0.500, 0.500, 0.000).

For the formation energy from raw total energies, the calculation gives 0.8875 eV per atom. The crystal system is orthorhombic.

---

# 15
Computed, not measured: a geometry-optimized ZnTeCl2 structure at the GGA-PBE level of DFT.

The space group is Cmmm (No. 65) and the conventional cell measures 6.232, 8.795 and 3.294 Å, with angles of 90.00, 90.00 and 90.00 degrees. The inequivalent atoms are Zn at (0.000, 0.000, 0.000), Te at (0.000, 0.500, 0.000) and Cl at (0.250, 0.250, 0.500).

For the formation energy from raw total energies, the calculation gives 0.1189 eV per atom. The value obtained for the excess energy over the best structure of this formula in the dataset is 743 meV/atom. The crystal system is orthorhombic.

---

# 16
Computed, not measured: a geometry-optimized YMnRe2 structure at the GGA-PBE level of DFT.

The space group is P4/mmm (No. 123) and the conventional cell measures 3.128, 3.128 and 7.004 Å, with angles of 90.00, 90.00 and 90.00 degrees. The inequivalent atoms are Y at (0.000, 0.000, 0.000), Mn at (0.000, 0.000, 0.500) and Re at (0.500, 0.500, 0.314).

The energy relative to the elements is 1.17 eV per formula unit. The value obtained for the excess energy over the best structure of this formula in the dataset is 102 meV/atom. The crystal system is tetragonal.

---

# 17
Computed, not measured: a geometry-optimized LaAsN2 structure at the GGA-PBE level of DFT.

The space group is I-42d (No. 122) and the conventional cell measures 5.066, 5.066 and 11.316 Å, with angles of 90.00, 90.00 and 90.00 degrees. The inequivalent atoms are La at (0.000, 0.000, 0.000), As at (0.000, 0.000, 0.500) and N at (0.201, 0.250, 0.625).

For the formation energy from raw total energies, the calculation gives -0.1158 eV per atom. The crystal system is tetragonal.

---

# 18
Computed, not measured: a geometry-optimized La7Tl3Sn structure at the GGA-PBE level of DFT.

The space group is C2/m (No. 12) and the conventional cell measures 11.637, 12.142 and 6.158 Å, with angles of 90.00, 121.68 and 90.00 degrees. The inequivalent atoms are La at (0.000, 0.000, 0.000), La at (0.164, 0.258, 0.664), La at (0.172, 0.500, 0.171), Tl at (0.000, 0.264, 0.000), Tl at (0.000, 0.500, 0.500) and Sn at (0.000, 0.000, 0.500).

The energy relative to the elements is -3.42 eV per formula unit. The crystal system is monoclinic.

---

# 19
Computed, not measured: a geometry-optimized LaTc4P2 structure at the GGA-PBE level of DFT.

The space group is Cmmm (No. 65) and the conventional cell measures 4.098, 13.946 and 4.052 Å, with angles of 90.00, 90.00 and 90.00 degrees. The inequivalent atoms are La at (0.000, 0.000, 0.000), Tc at (0.000, 0.186, 0.500), Tc at (0.000, 0.306, 0.000) and P at (0.000, 0.408, 0.500).

The energy relative to the elements is -4.98 eV per formula unit. The crystal system is orthorhombic.

---

# 20
Computed, not measured: a geometry-optimized Sr3Hg3Rh structure at the GGA-PBE level of DFT.

The space group is C2/m (No. 12) and the conventional cell measures 11.805, 4.372 and 17.002 Å, with angles of 90.00, 105.80 and 90.00 degrees. The inequivalent atoms are Sr at (0.027, 0.000, 0.392), Sr at (0.103, 0.000, 0.919), Sr at (0.247, 0.000, 0.249), Hg at (0.027, 0.500, 0.237), Hg at (0.117, 0.500, 0.079), Hg at (0.164, 0.500, 0.538) and Rh at (0.215, 0.500, 0.375).

The energy relative to the elements is -3.11 eV per formula unit. The crystal system is monoclinic.